Entry 1:
{
  "formula": "NaPrTeSe",
  "functional": "PBE-GGA",
  "state": "optimized geometry",
  "lattice_angstrom": [[4.443, 0.000, 0.000], [2.222, 3.848, 0.000], [2.222, 1.283, 7.313]],
  "species": ["Na", "Pr", "Te", "Se"],
  "frac_coords": [[0.504, 0.504, 0.488], [0.993, 0.993, 0.020], [0.747, 0.747, 0.758], [0.255, 0.255, 0.235]],
  "vol_a3_per_atom": 31.26,
  "e_form_raw_ev_per_fu": -5.98
}



Entry 2:
{
  "formula": "Ce2PaBi2N2",
  "functional": "PBE-GGA",
  "state": "optimized geometry",
  "lattice_angstrom": [[4.161, 0.000, 0.000], [2.080, 6.234, -0.137], [2.080, 2.199, 6.501]],
  "species": ["Ce", "Ce", "Pa", "Bi", "Bi", "N", "N"],
  "frac_coords": [[0.195, 0.379, 0.231], [0.805, 0.621, 0.769], [0.000, 0.000, 0.000], [0.573, 0.212, 0.643], [0.427, 0.788, 0.357], [0.189, 0.692, 0.929], [0.811, 0.308, 0.071]],
  "vol_a3_per_atom": 24.27,
  "e_form_raw_ev_per_fu": -8.19
}



Entry 3:
{
  "formula": "CsFeTeI2",
  "functional": "PBE-GGA",
  "state": "optimized geometry",
  "lattice_angstrom": [[5.889, 0.000, 0.000], [0.000, 5.889, 0.000], [0.000, 0.000, 4.898]],
  "species": ["Cs", "I", "I", "Te", "Fe"],
  "frac_coords": [[0.500, 0.500, 0.500], [0.000, 0.500, 0.000], [0.500, 0.000, 0.000], [0.000, 0.000, 0.500], [0.000, 0.000, 0.000]],
  "vol_a3_per_atom": 33.98,
  "e_form_raw_ev_per_fu": -1.25
}



Entry 4:
{
  "formula": "LiTbB14",
  "functional": "PBE-GGA",
  "state": "optimized geometry",
  "lattice_angstrom": [[5.368, 0.000, 2.389], [2.052, 6.467, 2.616], [-0.020, -0.020, 7.272]],
  "species": ["Li", "Li", "Tb", "Tb", "B", "B", "B", "B", "B", "B", "B", "B", "B", "B", "B", "B", "B", "B", "B", "B", "B", "B", "B", "B", "B", "B", "B", "B", "B", "B", "B", "B"],
  "frac_coords": [[0.500, 0.000, 0.500], [0.000, 0.000, 0.500], [0.250, 0.379, 0.121], [0.750, 0.621, 0.879], [0.666, 0.361, 0.307], [0.334, 0.639, 0.693], [0.166, 0.807, 0.861], [0.834, 0.193, 0.139], [0.149, 0.222, 0.480], [0.851, 0.778, 0.520], [0.649, 0.980, 0.722], [0.351, 0.020, 0.278], [0.089, 0.084, 0.738], [0.911, 0.916, 0.262], [0.589, 0.238, 0.584], [0.411, 0.762, 0.416], [0.717, 0.601, 0.281], [0.600, 0.399, 0.719], [0.217, 0.781, 0.101], [0.100, 0.219, 0.899], [0.283, 0.399, 0.719], [0.400, 0.601, 0.281], [0.783, 0.219, 0.899], [0.900, 0.781, 0.101], [0.330, 0.967, 0.874], [0.170, 0.033, 0.126], [0.830, 0.374, 0.467], [0.670, 0.626, 0.533], [0.670, 0.033, 0.126], [0.830, 0.967, 0.874], [0.170, 0.626, 0.533], [0.330, 0.374, 0.467]],
  "vol_a3_per_atom": 7.90,
  "ef_ev_per_atom": -0.283
}



Entry 5:
{
  "formula": "Ti2FeHg",
  "functional": "PBE-GGA",
  "state": "optimized geometry",
  "lattice_angstrom": [[-0.919, -0.713, -2.793], [-0.247, -2.901, 0.822], [-6.655, 1.106, 1.908]],
  "species": ["Ti", "Ti", "Hg", "Fe"],
  "frac_coords": [[0.000, 0.000, 0.795], [0.000, 0.000, 0.205], [0.500, 0.500, 0.500], [0.500, 0.500, 0.000]],
  "vol_a3_per_atom": 16.05,
  "ef_ev_per_atom": -0.161
}



Entry 6:
{
  "formula": "YIrI2Cl",
  "functional": "PBE-GGA",
  "state": "optimized geometry",
  "lattice_angstrom": [[-1.935, 4.771, -2.963], [-3.718, 0.966, 3.983], [3.952, 3.384, 2.868]],
  "species": ["I", "I", "Y", "Ir", "Cl"],
  "frac_coords": [[0.000, 0.000, 0.500], [0.500, 0.000, 0.000], [0.000, 0.000, 0.000], [0.000, 0.500, 0.000], [0.500, 0.500, 0.500]],
  "vol_a3_per_atom": 39.06,
  "e_form_raw_ev_per_fu": 1.56
}



Entry 7:
{
  "formula": "Pr8Pb4Se3N",
  "functional": "PBE-GGA",
  "state": "optimized geometry",
  "lattice_angstrom": [[-4.960, 3.130, 5.802], [-2.997, -8.594, 2.074], [8.163, 1.268, 0.429]],
  "species": ["Pr", "Pr", "Pr", "Pr", "Pr", "Pr", "Pr", "Pr", "Pb", "Pb", "Pb", "Pb", "Se", "Se", "Se", "N"],
  "frac_coords": [[0.217, 0.695, 0.980], [0.217, 0.696, 0.434], [0.260, 0.281, 0.520], [0.763, 0.695, 0.980], [0.237, 0.305, 0.020], [0.740, 0.719, 0.480], [0.783, 0.304, 0.566], [0.783, 0.305, 0.020], [0.500, 0.000, 0.000], [0.500, 0.000, 0.500], [0.000, 0.000, 0.000], [0.000, 0.000, 0.500], [0.500, 0.500, 0.000], [0.500, 0.500, 0.500], [0.000, 0.500, 0.500], [0.000, 0.500, 0.000]],
  "vol_a3_per_atom": 29.58,
  "e_form_raw_ev_per_fu": -16.66
}



Entry 8:
{
  "formula": "Pm2VSb",
  "functional": "PBE-GGA",
  "state": "optimized geometry",
  "lattice_angstrom": [[-3.983, 3.514, 0.285], [-4.642, -1.042, -2.381], [-4.305, -1.091, 2.928]],
  "species": ["Sb", "V", "Pm", "Pm"],
  "frac_coords": [[0.000, 0.000, 0.000], [0.500, 0.500, 0.500], [0.250, 0.250, 0.250], [0.750, 0.750, 0.750]],
  "vol_a3_per_atom": 26.61,
  "e_form_raw_ev_per_fu": -0.47,
  "de_polymorph_ev_per_atom": 0.106
}



Entry 9:
{
  "formula": "As5Br",
  "functional": "PBE-GGA",
  "state": "optimized geometry",
  "lattice_angstrom": [[1.651, 0.506, 5.643], [-2.834, -3.043, 4.188], [2.687, -4.505, 2.703]],
  "species": ["As", "As", "As", "As", "As", "Br"],
  "frac_coords": [[0.250, 0.250, 0.250], [0.643, 0.643, 0.643], [0.643, 0.643, 0.070], [0.070, 0.643, 0.643], [0.643, 0.070, 0.643], [0.000, 0.000, 0.000]],
  "vol_a3_per_atom": 24.22,
  "e_form_raw_ev_per_fu": 3.07,
  "de_polymorph_ev_per_atom": 0.419
}



Entry 10:
{
  "formula": "YZrMo",
  "functional": "PBE-GGA",
  "state": "optimized geometry",
  "lattice_angstrom": [[-2.280, -6.172, 4.106], [0.903, -6.272, 4.006], [-1.122, 1.112, 2.767]],
  "species": ["Mo", "Y", "Zr"],
  "frac_coords": [[0.008, 0.008, 0.992], [0.348, 0.348, 0.652], [0.644, 0.644, 0.356]],
  "vol_a3_per_atom": 22.71,
  "ef_ev_per_atom": 0.281,
  "de_polymorph_ev_per_atom": 0.153
}



Entry 11:
{
  "formula": "FeNi2Ge2",
  "functional": "PBE-GGA",
  "state": "optimized geometry",
  "lattice_angstrom": [[-1.697, 6.192, 2.157], [-5.809, -0.386, -3.462], [-1.256, -1.122, 2.233]],
  "species": ["Ni", "Ni", "Ni", "Ni", "Ge", "Ge", "Ge", "Ge", "Fe", "Fe"],
  "frac_coords": [[0.138, 0.638, 0.500], [0.638, 0.862, 0.500], [0.862, 0.362, 0.500], [0.362, 0.138, 0.500], [0.341, 0.841, 0.000], [0.841, 0.659, 0.000], [0.659, 0.159, 0.000], [0.159, 0.341, 0.000], [0.000, 0.000, 0.000], [0.500, 0.500, 0.000]],
  "vol_a3_per_atom": 12.83,
  "ef_ev_per_atom": -0.081
}



Entry 12:
{
  "formula": "ThSbO",
  "functional": "PBE-GGA",
  "state": "optimized geometry",
  "lattice_angstrom": [[-1.009, -0.606, -4.991], [-3.188, -2.178, 0.909], [-0.335, 3.932, -0.409]],
  "species": ["Sb", "O", "Th"],
  "frac_coords": [[0.667, 0.667, 0.333], [0.167, 0.333, 0.667], [0.167, 0.000, 0.000]],
  "vol_a3_per_atom": 23.30,
  "e_form_raw_ev_per_fu": -6.24,
  "de_polymorph_ev_per_atom": 0.131
}